The following is a PBE-GGA calculation of CdCo3Pt after structural relaxation, from the Alexandria database.

Properties
- Excess energy over the best structure of this formula in the dataset: 0 meV/atom
- Calculated volume: 99.2 Å³ per cell
- ΔE_f: 1.076 eV per atom
- DFT total energy: -4.58 eV/atom
- Fermi-level density of states: 0.960 states/eV/atom

abc: 4.6298 4.6298 4.6298
angles: 90.00 90.00 90.00
With the nearest neighbours (Å) after each atom.
Atoms (fractional coordinates):
Cd 0.0000 0.0000 0.0000  12 Co 3.27
Co 0.0000 0.5000 0.5000  2 Pt 2.31
Co 0.5000 0.0000 0.5000  2 Pt 2.31
Co 0.5000 0.5000 0.0000  2 Pt 2.31
Pt 0.5000 0.5000 0.5000  6 Co 2.31